SnBiMo2F | PBE with a Hubbard U | relaxed

Geometry as CIF:
```
data_SnBiMo2F
_chemical_formula_sum 'Sn1 Bi1 Mo2 F1'
_cell_length_a 5.0447
_cell_length_b 5.0447
_cell_length_c 4.8705
_cell_angle_alpha 90.00
_cell_angle_beta 90.00
_cell_angle_gamma 90.00
_symmetry_space_group_name_H-M 'P 4/m m m'
_symmetry_Int_Tables_number 123
_symmetry_space_group_name_Hall '-P 4 2'
loop_
_atom_site_label
_atom_site_type_symbol
_atom_site_fract_x
_atom_site_fract_y
_atom_site_fract_z
_atom_site_occupancy
Sn1 Sn 0.0000 0.0000 0.0000 1
Bi1 Bi 0.5000 0.5000 0.0000 1
Mo1 Mo 0.0000 0.5000 0.5000 1
F1 F 0.0000 0.0000 0.5000 1
```

Summary:
VASP energy ... -4.427 eV per atom
Theoretical density ... 7.22 g/cm3